No. 1
## Li2CaAg2Sn2 (GGA-PBE)

Data for a relaxed structure of Li2CaAg2Sn2.

DFT formation energy   -0.34 eV per atom

Cell lengths 4.630, 4.630, 8.785 Å; angles 74.72, 74.72, 60.00 degrees
Sites, in units of the cell vectors:
Li1 0.140 0.140 0.579
Li2 0.860 0.860 0.421
Ca1 0.000 0.000 0.000
Ag1 0.558 0.558 0.326
Ag2 0.442 0.442 0.674
Sn1 0.745 0.745 0.766
Sn2 0.255 0.255 0.234


No. 2
## SmThSb2 (GGA-PBE)

Data for a relaxed structure of SmThSb2.

Energy above the lowest structure with this stoichiometry   93 meV/atom

Cell lengths 4.370, 4.370, 8.223 Å; angles 74.59, 74.59, 60.00 degrees
Sites, in units of the cell vectors:
Sm1 0.669 0.669 0.992
Th1 0.498 0.498 0.506
Sb1 0.081 0.081 0.757
Sb2 0.252 0.252 0.245


No. 3
## Ta2Cu2Bi (GGA-PBE)

Data for a relaxed structure of Ta2Cu2Bi.

DFT formation energy   0.46 eV per atom

Cell lengths 7.805, 7.805, 3.006 Å; angles 90.00, 90.00, 90.00 degrees
Sites, in units of the cell vectors:
Bi1 0.000 0.000 0.000
Bi2 0.500 0.500 0.000
Cu1 0.332 0.832 0.000
Cu2 0.832 0.668 0.000
Cu3 0.668 0.168 0.000
Cu4 0.168 0.332 0.000
Ta1 0.122 0.622 0.500
Ta2 0.622 0.878 0.500
Ta3 0.878 0.378 0.500
Ta4 0.378 0.122 0.500


No. 4
## Zn3GaAu12 (GGA-PBE)

Data for a relaxed structure of Zn3GaAu12.

DFT formation energy   -0.10 eV per atom

Cell lengths 4.055, 4.055, 16.930 Å; angles 90.00, 90.00, 90.00 degrees
Sites, in units of the cell vectors:
Zn1 0.000 0.000 0.251
Zn2 0.000 0.000 0.500
Zn3 0.000 0.000 0.749
Ga1 0.000 0.000 0.000
Au1 0.500 0.500 0.000
Au2 0.500 0.500 0.252
Au3 0.500 0.500 0.500
Au4 0.500 0.500 0.748
Au5 0.500 0.000 0.128
Au6 0.500 0.000 0.376
Au7 0.500 0.000 0.624
Au8 0.500 0.000 0.872
Au9 0.000 0.500 0.128
Au10 0.000 0.500 0.376
Au11 0.000 0.500 0.624
Au12 0.000 0.500 0.872


No. 5
## ZrPaPt2O8 (GGA-PBE)

Data for a relaxed structure of ZrPaPt2O8.

E_tot   -7.56 eV/atom

Cell lengths 5.995, 5.995, 5.995 Å; angles 110.31, 110.31, 107.80 degrees
Sites, in units of the cell vectors:
Zr1 0.250 0.750 0.500
Pa1 0.000 0.000 0.000
Pt1 0.750 0.250 0.500
Pt2 0.500 0.500 0.000
O1 0.349 0.023 0.326
O2 0.283 0.464 0.181
O3 0.283 0.102 0.819
O4 0.696 0.023 0.674
O5 0.898 0.717 0.181
O6 0.977 0.304 0.326
O7 0.977 0.651 0.674
O8 0.536 0.717 0.819


No. 6
## ScFe2Pt (GGA-PBE)

Data for a relaxed structure of ScFe2Pt.

DFT formation energy   0.11 eV per atom

Cell lengths 8.988, 8.988, 8.988 Å; angles 18.04, 18.04, 18.04 degrees
Sites, in units of the cell vectors:
Fe1 0.997 0.997 0.997
Fe2 0.503 0.503 0.503
Pt1 0.250 0.250 0.250
Sc1 0.750 0.750 0.750


no.,size of the total moment (Bohr magnetons per cell)
1,0.0
2,0.6
3,0.0
4,0.0
5,0.8
6,5.2